Crystalline CaSe5 at its relaxed geometry, computed with PBE-GGA.

a b c (Å): 3.694 3.796 24.425
angles (deg): 90.00 90.00 90.00
Space group Amm2 (No. 38)
Unique sites:
Ca1 0.000 0.000 0.000 (multiplicity 2)
Se1 0.000 0.000 0.375 (multiplicity 2)
Se2 0.000 0.000 0.699 (multiplicity 2)
Se3 0.500 0.000 0.216 (multiplicity 2)
Se4 0.500 0.000 0.546 (multiplicity 2)
Se5 0.500 0.000 0.894 (multiplicity 2)

Summary:
Energy relative to the elements, uncorrected, eV/atom: -0.411
ρ, g/cm³: 4.22



Crystalline AlZnW2 at its relaxed geometry, computed with PBE-GGA.

a b c (Å): 2.8069 2.8069 27.9066
angles (deg): 90.00 90.00 120.00
Space group R3m (No. 160, hexagonal axes)
Unique sites:
Al1 0.0000 0.0000 0.0000 (multiplicity 3)
Zn1 0.0000 0.0000 0.2512 (multiplicity 3)
W1 0.0000 0.0000 0.5017 (multiplicity 3)
W2 0.0000 0.0000 0.7481 (multiplicity 3)

Summary:
Excess energy over the best structure of this formula in the dataset, meV per atom: 169
ρ, g/cm³: 12.04



Crystalline SnSbAs at its relaxed geometry, computed with PBE-GGA.

a b c (Å): 4.1278 4.1278 5.3689
angles (deg): 90.00 90.00 120.00
Space group P3m1 (No. 156)
Unique sites:
Sn1 0.0000 0.0000 0.0000 (multiplicity 1)
Sb1 0.3333 0.6667 0.6266 (multiplicity 1)
As1 0.6667 0.3333 0.3112 (multiplicity 1)

Summary:
Excess energy over the best structure of this formula in the dataset, meV per atom: 55
Energy relative to the elements, uncorrected, eV/atom: 0.040
ρ, g/cm³: 6.61



Crystalline MgTiCo2 at its relaxed geometry, computed with PBE-GGA.

a b c (Å): 6.517 6.517 5.448
angles (deg): 90.00 90.00 90.00
Space group I-42d (No. 122)
Unique sites:
Mg1 0.000 0.000 0.000 (multiplicity 4)
Ti1 0.000 0.000 0.500 (multiplicity 4)
Co1 0.222 0.250 0.625 (multiplicity 8)

Summary:
E, eV for the cell shown: -90.71
ρ, g/cm³: 5.45